Here is a relaxed MnZnO2 crystal from Alexandria via LeMat-Bulk. Energies are from GGA+U.

Cell lengths 6.371, 6.371, 5.196 Å; angles 90.81, 90.81, 28.12 degrees
Fractional positions:
Mn (0.000, 0.000, 0.000)
Mn (0.237, 0.237, 0.938)
Zn (0.365, 0.365, 0.512)
Zn (0.627, 0.627, 0.458)
O (0.219, 0.219, 0.338)
O (0.483, 0.483, 0.280)
O (0.614, 0.614, 0.840)
O (0.853, 0.853, 0.781)

Properties
Calculated total energy: -48.9 eV per cell
Volume: 12.42 Å³/atom
Total magnetic moment: 1.250 μB per atom